Entry 1:
Tb2Ho8Th3 | GGA-PBE | optimized geometry

Calculated values
- energy of formation (eV per atom) = 0.2807

```
Tb2Ho8Th3
1.0
6.412 0.000 1.526
0.000 9.232 0.000
-0.487 -4.616 7.375
Tb Ho Th
2 8 3
Cartesian
1.109 0.000 3.469
4.815 4.616 5.431
0.746 4.616 1.403
5.178 0.000 7.497
4.381 0.000 3.982
1.543 4.616 4.918
2.415 1.649 6.378
2.415 -1.649 6.378
3.509 6.265 2.522
3.509 2.966 2.522
3.206 0.000 0.763
0.000 1.562 0.000
0.000 7.670 0.000
```


Entry 2:
Tb7Ho3Th | GGA-PBE | optimized geometry

Calculated values
- energy of formation (eV per atom) = 0.1537

```
Tb7Ho3Th
1.0
9.433 -2.636 -1.241
-5.724 7.947 -1.241
-1.502 -2.150 12.969
Tb Ho Th
14 6 2
Cartesian
-4.770 6.491 1.999
-5.530 5.403 8.489
-2.200 2.061 6.162
-1.451 3.134 -0.322
-1.235 3.444 10.810
-0.486 4.517 4.326
0.724 1.036 8.487
1.484 2.125 2.001
3.442 -0.283 -0.322
2.693 -1.356 6.162
3.658 0.027 10.810
4.408 1.100 4.326
7.737 -2.242 1.999
6.977 -3.330 8.489
-3.983 2.355 9.108
0.000 0.000 0.000
-0.751 -1.075 6.484
-1.376 6.089 1.380
3.583 -2.928 9.108
6.190 0.806 1.380
1.854 2.656 -1.241
1.104 1.581 5.244
```


Entry 3:
TbHo3Th2 | GGA-PBE | optimized geometry

Calculated values
- energy of formation (eV per atom) = 0.5691

```
TbHo3Th2
1.0
11.325 0.000 0.000
0.000 6.149 -2.558
0.000 -0.565 6.636
Tb Ho Th
2 6 4
Cartesian
2.831 2.777 2.059
8.494 2.807 2.019
8.494 -0.552 6.617
8.494 -0.268 3.299
2.831 3.061 -1.259
8.494 2.523 5.337
2.831 5.851 0.779
2.831 6.136 -2.539
11.325 1.384 1.011
5.663 1.384 1.011
0.000 4.200 3.067
5.663 4.200 3.067
```


Entry 4:
Tb3Ho8Th2 | GGA-PBE | optimized geometry

Calculated values
- energy of formation (eV per atom) = 0.2776

```
Tb3Ho8Th2
1.0
5.589 0.000 0.750
0.000 7.356 0.000
-1.372 -3.678 10.255
Tb Ho Th
3 8 2
Cartesian
2.795 0.000 0.375
0.000 2.033 0.000
0.000 5.324 0.000
-0.456 3.678 3.415
4.674 0.000 7.590
-0.379 0.000 2.852
4.597 3.678 8.153
1.721 1.601 8.383
1.721 -1.601 8.383
2.496 5.279 2.622
2.496 2.078 2.622
2.122 0.000 5.406
2.095 3.678 5.599
```


Spin magnetization: 0.0; 0.0; 0.0; 0.0 (Bohr magnetons per cell)